Record 1
## Ce2PrIn6 (GGA-PBE)

Data for a relaxed Ce2PrIn6 crystal.

```
9
Lattice="3.6471 0.0000 0.0000 0.0000 7.5984 -4.3869 0.0000 0.0000 8.7739" Properties=species:S:1:pos:R:3 pbc="T T T"
In 1.8236 0.0000 5.8431
In 1.8236 7.5984 -1.4562
Ce 0.0000 2.5328 4.3870
In 1.8236 5.0603 2.9216
Ce 3.6471 5.0656 0.0000
In 1.8236 5.0603 5.8523
Pr 0.0000 0.0000 8.7739
In 1.8236 2.5381 1.4654
In 1.8236 2.5381 -1.4654
```

Symmetry: P6/mmm (191)
Energy of formation from the pure elements in kJ per mole of atoms: -38.5
Total moment in μB/f.u.: 1.57
Crystal system: hexagonal

---

Record 2
## CdTc2Hg (GGA-PBE)

Data for a relaxed CdTc2Hg crystal.

```
4
Lattice="2.8498 -0.0005 0.0000 -1.2881 2.5421 0.0000 0.0000 0.0000 9.9699" Properties=species:S:1:pos:R:3 pbc="T T T"
Hg 0.7809 1.2708 7.6324
Tc 0.7809 1.2708 2.2814
Tc 0.0000 0.0000 0.2401
Cd 0.0000 0.0000 4.8009
```

Symmetry: Cmm2 (35)
Energy of formation from the pure elements in kJ per mole of atoms: 39.4
Total moment in μB/f.u.: 0.00
Relative energy among the computed polymorphs in meV per atom: 234
Crystal system: orthorhombic

---

Record 3
## NbTe2SI (GGA-PBE)

Data for a relaxed NbTe2SI crystal.

```
5
Lattice="5.3920 0.0000 0.0000 0.0000 5.3920 0.0000 0.0000 0.0000 5.4176" Properties=species:S:1:pos:R:3 pbc="T T T"
Te 2.6960 0.0000 0.0000
Nb 0.0000 0.0000 0.0000
I 0.0000 0.0000 2.7088
Te 0.0000 2.6960 0.0000
S 2.6960 2.6960 2.7088
```

Symmetry: P4/mmm (123)
Total moment in μB/f.u.: 0.00
Relative energy among the computed polymorphs in meV per atom: 0
Crystal system: tetragonal
Uncorrected formation energy in eV per atom: 0.467

---

Record 4
## YLuCoPt (GGA-PBE)

Data for a relaxed YLuCoPt crystal.

```
4
Lattice="4.8063 0.0000 0.0000 2.4031 4.1623 0.0000 2.4031 1.3874 3.9243" Properties=species:S:1:pos:R:3 pbc="T T T"
Pt 7.2094 4.1623 2.9432
Co 2.4031 1.3874 0.9811
Lu 0.0000 0.0000 0.0000
Y 4.8063 2.7749 1.9621
```

Symmetry: F-43m (216)
Energy of formation from the pure elements in kJ per mole of atoms: -67.8
Total moment in μB/f.u.: 0.53
Crystal system: cubic

---

Record 5
## La2CdCo (GGA-PBE)

Data for a relaxed La2CdCo crystal.

```
4
Lattice="-3.2609 4.6659 -3.5672 -5.6712 -0.8193 -3.5064 3.3323 -0.3530 5.8224" Properties=species:S:1:pos:R:3 pbc="T T T"
Cd -3.8995 1.6794 -3.0882
La -0.5572 0.2400 -0.4413
Co -3.4246 0.3851 -0.6279
La -2.1845 3.1126 -0.6306
```

Symmetry: Imm2 (44)
Energy of formation from the pure elements in kJ per mole of atoms: -5.9
Total moment in μB/f.u.: 0.00
Crystal system: orthorhombic

---

Record 6
## PmBH (GGA-PBE)

Data for a relaxed PmBH crystal.

```
3
Lattice="3.8235 0.0000 0.0000 0.0000 3.8235 0.0000 -1.9118 -1.9118 3.1105" Properties=species:S:1:pos:R:3 pbc="T T T"
H 1.9118 1.9118 2.4331
Pm 0.0000 0.0000 1.6755
B 1.9118 1.9118 1.1793
```

Symmetry: I4mm (107)
Total moment in μB/f.u.: 0.00
Relative energy among the computed polymorphs in meV per atom: 438
Crystal system: tetragonal

---

Record 7
## BaAgHgSb (GGA-PBE)

Data for a relaxed BaAgHgSb crystal.

```
4
Lattice="-4.3866 -1.2186 -3.1350 -1.7240 -5.2346 -0.4262 -4.7473 -1.5482 2.3711" Properties=species:S:1:pos:R:3 pbc="T T T"
Ag -5.4289 -4.0007 -0.5951
Sb -2.7145 -2.0004 -0.2975
Hg -8.1434 -6.0011 -0.8926
Ba 0.0000 0.0000 0.0000
```

Symmetry: F-43m (216)
Total moment in μB/f.u.: 0.00
Crystal system: cubic
Uncorrected formation energy in eV per atom: -0.381

---

Record 8
## NbSbTe2S (GGA-PBE)

Data for a relaxed NbSbTe2S crystal.

```
5
Lattice="5.1289 0.0000 0.0000 0.0000 5.1289 0.0000 0.0000 0.0000 5.1299" Properties=species:S:1:pos:R:3 pbc="T T T"
Te 2.5645 0.0000 0.0000
Sb 0.0000 0.0000 2.5649
Nb 2.5645 2.5645 2.5649
Te 0.0000 2.5645 0.0000
S 0.0000 0.0000 0.0000
```

Symmetry: P4/mmm (123)
Total moment in μB/f.u.: 2.27
Relative energy among the computed polymorphs in meV per atom: 344
Crystal system: tetragonal
Uncorrected formation energy in eV per atom: 0.806

---

Record 9
## Mn2GaAu (GGA-PBE)

Data for a relaxed Mn2GaAu crystal.

```
4
Lattice="-1.1053 -3.2450 -1.7659 3.2878 0.0375 -2.1269 1.8070 -2.1153 2.7560" Properties=species:S:1:pos:R:3 pbc="T T T"
Au -0.5527 -1.6225 -0.8829
Mn 0.9035 -1.0576 1.3780
Mn 1.6439 0.0188 -1.0635
Ga 1.9947 -2.6614 -0.5684
```

Symmetry: P4/mmm (123)
Energy of formation from the pure elements in kJ per mole of atoms: -3.5
Total moment in μB/f.u.: 6.14
Crystal system: tetragonal

---

Record 10
## ThSc4Ge4 (GGA-PBE)

Data for a relaxed ThSc4Ge4 crystal.

```
18
Lattice="5.4294 0.0000 0.0000 0.0000 8.9145 0.0000 0.0000 0.0000 8.9145" Properties=species:S:1:pos:R:3 pbc="T T T"
Th 0.0000 0.0000 0.0000
Ge 0.5417 1.3832 2.7346
Ge 3.2564 7.1918 3.0741
Ge 4.8877 6.1799 1.3832
Th 2.7147 4.4572 4.4572
Ge 0.5417 7.5313 6.1799
Sc 4.8223 5.4785 7.6303
Ge 4.8877 2.7346 7.5313
Sc 2.1076 5.7414 1.0213
Sc 0.6071 7.6303 3.4360
Ge 2.1730 5.8404 7.1918
Sc 0.6071 1.2842 5.4785
Ge 2.1730 3.0741 1.7227
Sc 3.3218 1.0213 3.1730
Sc 3.3218 7.8932 5.7414
Ge 3.2564 1.7227 5.8404
Sc 2.1076 3.1730 7.8932
Sc 4.8223 3.4360 1.2842
```

Symmetry: P4_2/n (86)
Energy of formation from the pure elements in kJ per mole of atoms: -51.0
Total moment in μB/f.u.: 0.00
Crystal system: tetragonal

---

Record 11
## MgZnTc2 (GGA-PBE)

Data for a relaxed MgZnTc2 crystal.

```
4
Lattice="-1.7565 -1.5059 1.9809 2.4871 -1.1393 1.3392 0.1743 5.2855 4.1726" Properties=species:S:1:pos:R:3 pbc="T T T"
Zn 0.0842 2.5524 2.0150
Tc 0.0051 0.1544 0.1219
Tc 0.4061 -0.0845 2.6375
Mg 0.4967 2.6608 4.8047
```

Symmetry: P4mm (99)
Energy of formation from the pure elements in kJ per mole of atoms: -5.0
Total moment in μB/f.u.: 0.00
Relative energy among the computed polymorphs in meV per atom: 0
Crystal system: tetragonal

---

Record 12
## HoTm5Sn2 (GGA-PBE)

Data for a relaxed HoTm5Sn2 crystal.

```
8
Lattice="3.5117 0.0000 0.0000 1.7559 8.0779 -0.5114 1.7559 1.9426 7.8575" Properties=species:S:1:pos:R:3 pbc="T T T"
Tm 1.7559 5.0103 3.6731
Tm 3.5117 5.0404 0.7878
Ho 0.0000 0.0000 0.0000
Tm 3.5117 7.7528 2.7763
Tm 3.5117 2.2678 4.5698
Sn 1.7559 2.3972 1.7574
Sn 5.2676 7.6233 5.5887
Tm 3.5117 4.9802 6.5583
```

Symmetry: Immm (71)
Energy of formation from the pure elements in kJ per mole of atoms: -28.2
Total moment in μB/f.u.: 0.00
Crystal system: orthorhombic

---

Record 13
## Tb2ErGa2 (GGA-PBE)

Data for a relaxed Tb2ErGa2 crystal.

```
10
Lattice="-6.6679 1.2873 -3.4890 0.1646 -7.0537 -2.9170 -2.1137 -1.4922 3.4890" Properties=species:S:1:pos:R:3 pbc="T T T"
Er -3.2516 -2.8832 -3.2030
Ga -2.5129 -0.3587 -1.6758
Tb -3.0914 -6.1499 -1.7992
Ga -5.8041 -1.5466 -4.1777
Tb -5.5256 -1.1087 -1.1178
Ga -3.9904 -5.4077 -4.7303
Ga -0.6992 -4.2198 -2.2283
Tb -6.4502 -4.4412 -3.1032
Tb -2.1668 -2.8175 0.1862
Er 0.0000 0.0000 0.0000
```

Symmetry: P4/mbm (127)
Energy of formation from the pure elements in kJ per mole of atoms: -51.1
Total moment in μB/f.u.: 0.00
Relative energy among the computed polymorphs in meV per atom: 0
Crystal system: tetragonal

---

Record 14
## FeTe2W (GGA-PBE)

Data for a relaxed FeTe2W crystal.

```
4
Lattice="-4.0007 -0.8367 4.2846 3.3431 -4.7429 1.1800 1.1980 0.1456 2.6507" Properties=species:S:1:pos:R:3 pbc="T T T"
Te 0.0000 0.0000 0.0000
W -1.4013 -0.3456 3.4677
Fe 2.2706 -2.2986 1.9154
Te -0.3288 -2.7898 2.7323
```

Symmetry: C2/m (12)
Total moment in μB/f.u.: 2.42
Relative energy among the computed polymorphs in meV per atom: 1025
Crystal system: monoclinic
Uncorrected formation energy in eV per atom: 0.989

---

Record 15
## TbNd2Tc2C4 (GGA-PBE)

Data for a relaxed TbNd2Tc2C4 crystal.

```
9
Lattice="-0.0120 3.1124 -1.6942 -0.5957 -4.8516 -5.2028 -5.6235 1.1222 2.1015" Properties=species:S:1:pos:R:3 pbc="T T T"
C -4.3538 2.0855 0.1560
C -1.8773 -2.7024 -4.9515
Tc -5.9998 -0.9917 -1.7795
Nd -3.1563 -0.2829 -0.4973
Tc -0.2314 0.3748 -3.0160
Tb 0.0000 0.0000 0.0000
C -1.3648 -1.2237 -2.2384
C -4.8663 0.6067 -2.5570
Nd -3.0749 -0.3341 -4.2981
```

Symmetry: C2/m (12)
Energy of formation from the pure elements in kJ per mole of atoms: -2.0
Total moment in μB/f.u.: 0.00
Crystal system: monoclinic

---

Record 16
## CaGd2Al (GGA-PBE)

Data for a relaxed CaGd2Al crystal.

```
4
Lattice="-1.8028 2.8666 4.2266 -5.2959 0.1240 1.1270 -1.8951 -2.5460 4.3884" Properties=species:S:1:pos:R:3 pbc="T T T"
Gd -6.7453 0.3334 7.3065
Gd -2.2484 0.1111 2.4355
Ca -4.4968 0.2223 4.8710
Al 0.0000 0.0000 0.0000
```

Symmetry: Fm-3m (225)
Energy of formation from the pure elements in kJ per mole of atoms: -5.9
Total moment in μB/f.u.: 14.78
Relative energy among the computed polymorphs in meV per atom: 85
Crystal system: cubic

---

Record 17
## AcY2Rh (GGA-PBE)

Data for a relaxed AcY2Rh crystal.

```
16
Lattice="-5.1549 3.9890 -0.9900 -3.5120 -3.1171 5.7269 3.9700 6.6301 6.0432" Properties=species:S:1:pos:R:3 pbc="T T T"
Y -1.7375 8.4765 6.6747
Y -2.6484 6.2640 9.7004
Rh -0.4158 6.9003 4.6465
Y -1.5190 1.4311 6.2981
Ac -4.2198 2.5383 3.9686
Y -2.0485 1.2380 1.0797
Y -2.9594 -0.9745 4.1054
Rh -3.9579 6.7240 7.1670
Rh -4.2812 0.6017 6.1336
Ac -0.4771 4.9637 6.8115
Y -0.6080 3.6436 3.2724
Y -4.0889 3.8584 7.5077
Rh -0.7390 0.7780 3.6132
Y -3.1779 6.0709 4.4820
Ac -1.1302 2.5517 9.8868
Ac -3.5667 4.9503 0.8933
```

Symmetry: Pnma (62)
Energy of formation from the pure elements in kJ per mole of atoms: -44.8
Total moment in μB/f.u.: 0.00
Relative energy among the computed polymorphs in meV per atom: 0
Crystal system: orthorhombic

---

Record 18
## ZnFeHg2 (GGA-PBE)

Data for a relaxed ZnFeHg2 crystal.

```
4
Lattice="-2.6054 3.1582 -2.8873 -2.1154 -4.5037 -0.5844 -1.8360 0.5628 2.2631" Properties=species:S:1:pos:R:3 pbc="T T T"
Hg 0.0000 0.0000 0.0000
Zn -2.2207 1.8605 -0.3121
Hg -2.3604 -0.6727 -1.7358
Fe -1.9757 -1.9704 0.8393
```

Symmetry: C2/m (12)
Energy of formation from the pure elements in kJ per mole of atoms: 33.3
Total moment in μB/f.u.: 2.58
Crystal system: monoclinic

---

Record 19
## DyTlAg (GGA-PBE)

Data for a relaxed DyTlAg crystal.

```
3
Lattice="-2.2025 1.8826 -1.7968 -3.6698 -1.4467 2.9827 2.6009 4.0671 1.0729" Properties=species:S:1:pos:R:3 pbc="T T T"
Dy -3.0478 1.6461 1.1484
Ag 0.1437 2.5428 1.4102
Tl -0.3673 0.3140 -0.2997
```

Symmetry: P-6m2 (187)
Energy of formation from the pure elements in kJ per mole of atoms: -26.8
Total moment in μB/f.u.: 0.00
Crystal system: hexagonal

---

Record 20
## PdPbI3 (GGA-PBE)

Data for a relaxed PdPbI3 crystal.

```
5
Lattice="-4.8315 0.6355 -2.5841 -1.3195 -5.2236 1.1825 -2.3109 1.6539 4.7275" Properties=species:S:1:pos:R:3 pbc="T T T"
I -2.4158 0.3177 -1.2920
Pd 0.0000 0.0000 0.0000
Pb -4.2310 -1.4671 1.6630
I -0.6597 -2.6118 0.5912
I -1.1554 0.8270 2.3638
```

Symmetry: Pm-3m (221)
Total moment in μB/f.u.: 0.00
Relative energy among the computed polymorphs in meV per atom: 0
Crystal system: cubic
Uncorrected formation energy in eV per atom: -0.135

---

Looking at final energy for the records above, in order, we have -4.075, -5.079, -3.939, -6.736, -4.530, -4.879, -2.680, -4.115, -6.197, -6.219, -5.952, -4.660, -4.506, -5.936, -7.998, -8.538, -6.561, -2.240, -3.551, -2.845 eV per atom.